# Li2YTiMo

A relaxed Li2YTiMo crystal (GGA-PBE, Alexandria via LeMat-Bulk).

Cell and atoms, written as POSCAR:
```
Li2YTiMo
1.0
4.796 0.000 0.000
0.000 4.954 0.000
0.000 0.000 4.796
Li Mo Y Ti
2 1 1 1
Direct
0.500 0.000 0.000 Li
0.000 0.000 0.500 Li
0.000 0.000 0.000 Mo
0.000 0.500 0.000 Y
0.500 0.500 0.500 Ti
```

Calculated values
Total magnetic moment ... 0.0 μB per formula unit
ΔH_f (0 K) ... 1.3182 eV per atom
Raw total energy ... -22.43 eV per cell



# LiTlMo3

A relaxed LiTlMo3 crystal (GGA-PBE, Alexandria via LeMat-Bulk).

Cell and atoms, written as POSCAR:
```
LiTlMo3
1.0
5.045 0.000 0.000
0.000 5.045 0.000
0.000 0.000 5.045
Mo Tl Li
3 1 1
Direct
0.500 0.000 0.000 Mo
0.000 0.500 0.000 Mo
0.000 0.000 0.500 Mo
0.000 0.000 0.000 Tl
0.500 0.500 0.500 Li
```

Calculated values
Total magnetic moment ... 0.0 μB per formula unit
ΔH_f (0 K) ... 2.6124 eV per atom
Raw total energy ... -23.71 eV per cell
Excess energy over the best structure of this formula in the dataset ... 6.53 eV per formula unit



| no. | volume (Å³/atom) |
| --- | --- |
| 1 | 22.79 |
| 2 | 25.68 |